Record 1
VASP calculation (PBE) on crystalline TlGeAs at its relaxed geometry.

Geometry as CIF:
```
data_TlGeAs
_chemical_formula_sum 'Tl2 Ge2 As2'
_space_group_name_H-M_alt 'P 1'
_space_group_IT_number 1
_space_group_name_Hall 'P 1'
_cell_length_a 5.4648
_cell_length_b 5.1335
_cell_length_c 6.5548
_cell_angle_alpha 90.00
_cell_angle_beta 114.60
_cell_angle_gamma 90.00
loop_
_atom_site_label
_atom_site_type_symbol
_atom_site_fract_x
_atom_site_fract_y
_atom_site_fract_z
_atom_site_occupancy
Tl1 Tl 0.0000 0.0000 0.0000 1
Tl2 Tl 0.2997 0.0000 0.6210 1
Ge1 Ge 0.3787 0.5000 0.3024 1
Ge2 Ge 0.9310 0.5000 0.3176 1
As1 As 0.5031 0.5000 0.9723 1
As2 As 0.8065 0.5000 0.6476 1
```

Computed properties:
formation energy from the elements = 0.19 eV per atom
magnetization = 0.000 Bohr magnetons per cell
energy relative to the lowest polymorph listed for this composition = 185 meV per atom
E_tot = -3.691 eV/atom

***

Record 2
VASP calculation (PBE) on crystalline NdMg2Cd at its relaxed geometry.

Geometry as CIF:
```
data_NdMg2Cd
_chemical_formula_sum 'Nd1 Mg2 Cd1'
_space_group_name_H-M_alt 'P 1'
_space_group_IT_number 1
_space_group_name_Hall 'P 1'
_cell_length_a 11.7310
_cell_length_b 11.7310
_cell_length_c 11.7310
_cell_angle_alpha 15.94
_cell_angle_beta 15.94
_cell_angle_gamma 15.94
loop_
_atom_site_label
_atom_site_type_symbol
_atom_site_fract_x
_atom_site_fract_y
_atom_site_fract_z
_atom_site_occupancy
Nd1 Nd 0.0000 0.0000 0.0000 1
Mg1 Mg 0.0946 0.0946 0.0946 1
Mg2 Mg 0.9054 0.9054 0.9054 1
Cd1 Cd 0.5000 0.5000 0.5000 1
```

Computed properties:
formation energy from the elements = 0.15 eV per atom
magnetization = 0.000 Bohr magnetons per cell
energy relative to the lowest polymorph listed for this composition = 378 meV per atom
E_tot = -2.072 eV/atom

***

Record 3
VASP calculation (PBE) on crystalline ZnAuO2F at its relaxed geometry.

Geometry as CIF:
```
data_ZnAuO2F
_chemical_formula_sum 'Zn1 Au1 O2 F1'
_space_group_name_H-M_alt 'P 1'
_space_group_IT_number 1
_space_group_name_Hall 'P 1'
_cell_length_a 3.9706
_cell_length_b 3.9706
_cell_length_c 3.9406
_cell_angle_alpha 90.00
_cell_angle_beta 90.00
_cell_angle_gamma 90.00
loop_
_atom_site_label
_atom_site_type_symbol
_atom_site_fract_x
_atom_site_fract_y
_atom_site_fract_z
_atom_site_occupancy
Zn1 Zn 0.0000 0.0000 0.0000 1
Au1 Au 0.5000 0.5000 0.5000 1
O1 O 0.0000 0.5000 0.0000 1
O2 O 0.5000 0.0000 0.0000 1
F1 F 0.0000 0.0000 0.5000 1
```

Computed properties:
magnetization = 1.703 Bohr magnetons per cell
E_tot = -3.538 eV/atom
E_form (uncorrected) = -0.27 eV/atom

***

Q: Which of these has the lowest E_tot?
A: TlGeAs

***

Repeat the first record exactly.
VASP calculation (PBE) on crystalline TlGeAs at its relaxed geometry.

Geometry as CIF:
```
data_TlGeAs
_chemical_formula_sum 'Tl2 Ge2 As2'
_space_group_name_H-M_alt 'P 1'
_space_group_IT_number 1
_space_group_name_Hall 'P 1'
_cell_length_a 5.4648
_cell_length_b 5.1335
_cell_length_c 6.5548
_cell_angle_alpha 90.00
_cell_angle_beta 114.60
_cell_angle_gamma 90.00
loop_
_atom_site_label
_atom_site_type_symbol
_atom_site_fract_x
_atom_site_fract_y
_atom_site_fract_z
_atom_site_occupancy
Tl1 Tl 0.0000 0.0000 0.0000 1
Tl2 Tl 0.2997 0.0000 0.6210 1
Ge1 Ge 0.3787 0.5000 0.3024 1
Ge2 Ge 0.9310 0.5000 0.3176 1
As1 As 0.5031 0.5000 0.9723 1
As2 As 0.8065 0.5000 0.6476 1
```

Computed properties:
formation energy from the elements = 0.19 eV per atom
magnetization = 0.000 Bohr magnetons per cell
energy relative to the lowest polymorph listed for this composition = 185 meV per atom
E_tot = -3.691 eV/atom

***

Q: Which formula does entry 1 have?
A: TlGeAs